# Tm4ZnGe3

An optimized crystal structure of Tm4ZnGe3 (GGA-PBE, Alexandria).

Cell lengths 3.9868, 4.1745, 10.6720 Å; angles 90.00, 90.00, 90.00 degrees
Fractional coordinates of all 8 atoms:
1 Tm 0.0000 0.0000 0.0000
2 Tm 0.0000 0.5000 0.4981
3 Tm 0.5000 0.0000 0.2767
4 Tm 0.5000 0.5000 0.7788
5 Zn 0.5000 0.0000 0.5625
6 Ge 0.0000 0.0000 0.7194
7 Ge 0.0000 0.5000 0.2234
8 Ge 0.5000 0.5000 0.0511

Computed properties:
Energy: -4.857 eV/atom
Energy of formation: -16.84 kcal/mol of atoms